[1]
A plane-wave DFT calculation with PBE was carried out for Rb2ScMn after structural relaxation.

```
Rb2ScMn
1.0
-6.6314 6.6314 2.4415
6.6314 -6.6314 2.4415
6.6314 6.6314 -2.4415
Rb Sc Mn
4 2 2
Cartesian
1.2786 3.3157 0.6104
-3.3157 5.3528 1.8311
-1.2786 9.9471 0.6104
3.3157 7.9100 1.8311
6.6314 0.0000 1.2208
0.0000 0.0000 2.4415
0.0000 0.0000 0.0000
0.0000 6.6314 1.2208
```

Values from the calculation:
* ΔE to the lowest computed polymorph: 0 meV per atom
* calculated formation energy: 3.9 eV/f.u.
* symmetry: I-42d, No. 122


[2]
A plane-wave DFT calculation with PBE was carried out for RbScMnSe4 after structural relaxation.

```
RbScMnSe4
1.0
6.5287 0.0000 0.0000
0.0000 6.6927 0.0000
-3.2021 0.0000 8.9345
Rb Sc Mn Se
2 2 2 8
Cartesian
1.4417 1.6732 0.4849
1.8850 5.0195 8.4496
-0.2614 1.6732 4.9229
3.5880 5.0195 4.0115
0.4023 5.0195 3.0078
2.9244 1.6732 5.9267
-2.0594 3.3979 6.1862
-2.0594 6.6411 6.1862
2.2484 5.0195 1.6158
1.1113 5.0195 5.1676
2.2154 1.6732 3.7669
1.0783 1.6732 7.3186
5.3860 0.0516 2.7482
5.3860 3.2948 2.7482
```

Values from the calculation:
* formation energy from raw total energies: -0.97 eV per atom
* symmetry: P2_1/m, No. 11


[3]
A plane-wave DFT calculation with PBE was carried out for Rb2ScMnSe4 after structural relaxation.

```
Rb2ScMnSe4
1.0
5.9355 -5.9115 0.0000
5.9355 5.9115 0.0000
-5.6903 0.0000 6.3011
Rb Sc Mn Se
4 2 2 8
Cartesian
0.0000 0.0000 0.0000
-2.8451 0.0000 3.1506
2.9678 2.9558 0.0000
0.1226 -2.9558 3.1506
5.9355 0.0000 0.0000
3.0904 0.0000 3.1506
0.1226 2.9558 3.1506
2.9678 -2.9558 0.0000
2.6992 2.6994 3.2458
0.3415 0.3527 3.4422
0.6365 2.6994 6.2058
3.1866 -0.3527 0.2917
2.9941 0.3527 6.0094
5.5443 -2.6994 0.0953
5.8393 -0.3527 2.8589
3.4816 -2.6994 3.0553
```

Values from the calculation:
* formation energy from raw total energies: -1.03 eV per atom
* symmetry: C2/c, No. 15


[4]
A plane-wave DFT calculation with PBE was carried out for Rb2ScMn2Se4 after structural relaxation.

```
Rb2ScMn2Se4
1.0
7.5925 -2.0694 0.0000
7.5925 2.0694 0.0000
-2.5663 0.0000 7.6979
Rb Sc Mn Se
2 1 2 4
Cartesian
1.8547 0.0000 0.4205
10.7639 0.0000 7.2773
-1.2832 0.0000 3.8489
3.5800 0.0000 4.0056
9.0386 0.0000 3.6922
1.2268 0.0000 5.1582
5.5119 0.0000 5.5578
7.1067 0.0000 2.1401
11.3918 0.0000 2.5396
```

Values from the calculation:
* formation energy from raw total energies: -1.02 eV per atom
* symmetry: C2/m, No. 12


[5]
A plane-wave DFT calculation with PBE was carried out for RbSc2MnSe after structural relaxation.

```
RbSc2MnSe
1.0
5.1607 0.0000 0.0000
0.0000 5.1607 0.0000
0.0000 0.0000 4.2766
Rb Sc Mn Se
1 2 1 1
Cartesian
0.0000 0.0000 0.0000
0.0000 2.5804 0.0000
2.5804 0.0000 0.0000
0.0000 0.0000 2.1383
2.5804 2.5804 2.1383
```

Values from the calculation:
* formation energy from raw total energies: 1.75 eV per atom
* symmetry: P4/mmm, No. 123


[6]
A plane-wave DFT calculation with PBE was carried out for Rb2ScMnTe4 after structural relaxation.

```
Rb2ScMnTe4
1.0
-4.4797 4.5544 6.6482
4.4797 -4.5544 6.6482
4.4797 4.5544 -6.6482
Rb Sc Mn Te
4 2 2 8
Cartesian
0.0000 0.0000 0.0000
-2.2398 2.2772 3.3241
0.0000 4.5544 0.0000
2.2398 2.2772 3.3241
2.2398 2.2772 -3.3241
2.2398 -2.2772 3.3241
4.4797 0.0000 0.0000
0.0000 0.0000 6.6482
4.4797 -0.3604 3.1503
4.4797 4.1941 -3.1503
2.7500 2.2772 -0.2569
6.2093 2.2772 -0.2569
-1.7297 2.2772 6.9051
1.7297 2.2772 6.9051
0.0000 0.3604 9.7985
0.0000 4.9148 3.4979
```

Values from the calculation:
* formation energy from raw total energies: -0.76 eV per atom
* symmetry: Imma, No. 74


[7]
A plane-wave DFT calculation with PBE was carried out for Rb4Sc3MnTe8 after structural relaxation.

```
Rb4Sc3MnTe8
1.0
4.3138 2.4906 8.4805
-4.3138 2.4906 8.4805
0.0000 -4.9811 8.4805
Rb Sc Mn Te
4 3 1 8
Cartesian
0.0000 0.0000 0.0000
-2.1569 -1.2453 8.4805
-2.1569 1.2453 16.9610
0.0000 2.4906 8.4805
-4.3138 0.0000 12.7208
-2.1569 1.2453 4.2402
2.1569 1.2453 4.2403
0.0000 0.0000 12.7208
0.0000 0.0000 5.8613
-2.1117 -1.2192 14.2835
0.0000 -2.4384 11.1580
-2.1117 1.2192 11.1580
2.1117 -1.2192 14.2835
0.0000 2.4384 14.2835
2.1117 1.2192 11.1580
0.0000 0.0000 19.5802
```

Values from the calculation:
* formation energy from raw total energies: -1.03 eV per atom
* symmetry: R-3m, No. 166


[8]
A plane-wave DFT calculation with PBE was carried out for Rb2Sc2MnTe6 after structural relaxation.

```
Rb2Sc2MnTe6
1.0
3.5799 -6.1956 0.0000
3.5799 6.1956 0.0000
-2.5334 0.0000 8.7911
Rb Sc Mn Te
2 2 1 6
Cartesian
3.5799 4.0805 0.0000
3.5799 -4.0805 0.0000
2.3132 2.0951 4.3955
2.3132 -2.0951 4.3955
-1.2667 0.0000 4.3955
-0.1190 1.9340 6.0182
0.9956 0.0000 2.8062
-0.1190 -1.9340 6.0182
4.7454 1.9340 2.7729
3.6308 0.0000 5.9849
4.7454 -1.9340 2.7729
```

Values from the calculation:
* formation energy from raw total energies: -0.92 eV per atom
* symmetry: C2/m, No. 12


[9]
A plane-wave DFT calculation with PBE was carried out for Rb2Mn3Se6 after structural relaxation.

```
Rb2Mn3Se6
1.0
3.2431 -5.6187 0.0000
3.2431 5.6187 0.0000
-2.1627 0.0000 8.1611
Rb Mn Se
2 3 6
Cartesian
3.2431 3.7471 0.0000
3.2431 -3.7471 0.0000
-1.0814 0.0000 4.0806
2.1618 1.8878 4.0806
2.1618 -1.8878 4.0806
0.0053 1.8647 5.4706
1.0915 0.0000 2.6939
0.0053 -1.8647 5.4706
4.3182 1.8647 2.6906
3.2321 0.0000 5.4672
4.3182 -1.8647 2.6906
```

Values from the calculation:
* formation energy from raw total energies: -0.66 eV per atom
* symmetry: C2/m, No. 12


[10]
A plane-wave DFT calculation with PBE was carried out for RbMn4Se8 after structural relaxation.

```
RbMn4Se8
1.0
3.5325 2.0395 8.6288
-3.5325 2.0395 8.6288
0.0000 -4.0789 8.6288
Rb Mn Se
1 4 8
Cartesian
0.0000 0.0000 0.0000
-3.5325 0.0000 12.9432
-1.7662 1.0197 4.3144
1.7662 1.0197 4.3144
0.0000 0.0000 12.9432
0.0000 0.0000 5.7256
-1.7617 -1.0171 14.3461
0.0000 -2.0343 11.5403
-1.7617 1.0171 11.5403
1.7617 -1.0171 14.3461
0.0000 2.0343 14.3461
1.7617 1.0171 11.5403
0.0000 0.0000 20.1609
```

Values from the calculation:
* formation energy from raw total energies: -0.59 eV per atom
* symmetry: R-3m, No. 166


[11]
A plane-wave DFT calculation with PBE was carried out for RbMnSe after structural relaxation.

```
RbMnSe
1.0
-3.8715 8.3334 4.3875
3.8715 -8.3334 4.3875
3.8715 8.3334 -4.3875
Rb Mn Se
6 6 6
Cartesian
1.9358 0.3040 0.0000
1.9358 5.1044 -0.0656
5.8073 3.7773 0.8688
1.9358 3.2290 4.3219
-1.9358 4.5561 5.2563
1.9358 8.0294 4.3875
0.0000 0.0000 3.5856
3.8715 0.0000 3.5856
-0.6446 7.5623 1.3499
0.6446 -0.7711 5.7374
0.6446 9.1045 1.3499
3.2269 9.1045 1.3499
1.9358 -1.4035 3.5538
1.9358 9.7368 -0.8337
0.0182 5.8586 2.7332
3.8533 5.8586 2.7332
-0.0182 10.8081 2.7332
0.0182 2.4747 7.1207
```

Values from the calculation:
* formation energy from raw total energies: -0.29 eV per atom
* symmetry: Ima2, No. 46


[12]
A plane-wave DFT calculation with PBE was carried out for Rb3Mn2Se4 after structural relaxation.

```
Rb3Mn2Se4
1.0
7.8090 -2.1887 0.0000
7.8090 2.1887 0.0000
-5.1152 0.0000 8.7908
Rb Mn Se
3 2 4
Cartesian
0.0000 0.0000 0.0000
4.5376 0.0000 2.3289
5.9652 0.0000 6.4619
1.5180 0.0000 5.6346
8.9847 0.0000 3.1561
-0.1485 0.0000 3.6525
0.3816 0.0000 7.7052
10.1212 0.0000 1.0856
10.6513 0.0000 5.1383
```

Values from the calculation:
* formation energy from raw total energies: -0.80 eV per atom
* ΔE to the lowest computed polymorph: 59 meV per atom
* symmetry: C2/m, No. 12


[13]
A plane-wave DFT calculation with PBE was carried out for RbMn5Se8 after structural relaxation.

```
RbMn5Se8
1.0
9.4794 -1.8553 0.0000
9.4794 1.8553 0.0000
-2.3833 0.0000 8.8334
Rb Mn Se
1 5 8
Cartesian
0.0000 0.0000 0.0000
1.8496 0.0000 4.3389
1.8777 0.0000 7.4090
8.2877 0.0000 4.4167
14.6978 0.0000 1.4245
14.7259 0.0000 4.4945
-0.2237 0.0000 5.8505
4.1128 0.0000 3.0276
6.2957 0.0000 0.0737
6.2443 0.0000 5.8708
10.3312 0.0000 2.9626
10.2798 0.0000 8.7597
12.4627 0.0000 5.8058
16.7992 0.0000 2.9829
```

Values from the calculation:
* formation energy from raw total energies: -0.55 eV per atom
* symmetry: C2/m, No. 12


[14]
A plane-wave DFT calculation with PBE was carried out for RbMnSe3 after structural relaxation.

```
RbMnSe3
1.0
5.7609 0.0000 0.0000
0.0000 5.7609 0.0000
0.0000 0.0000 5.7609
Rb Mn Se
1 1 3
Cartesian
0.0000 0.0000 0.0000
2.8804 2.8804 2.8804
0.0000 0.0000 2.8804
0.0000 2.8804 0.0000
2.8804 0.0000 0.0000
```

Values from the calculation:
* formation energy from raw total energies: 1.25 eV per atom
* ΔE to the lowest computed polymorph: 1818 meV per atom
* symmetry: Pm-3m, No. 221


[15]
A plane-wave DFT calculation with PBE was carried out for RbMnSe4 after structural relaxation.

```
RbMnSe4
1.0
7.1989 -3.8059 0.0000
7.1989 3.8059 0.0000
-0.8888 0.0000 6.3434
Rb Mn Se
2 2 8
Cartesian
2.6331 0.0000 1.0117
10.8760 0.0000 5.3317
6.4441 0.0000 4.4425
7.0650 0.0000 1.9009
5.5269 1.6215 2.9681
7.1989 1.4507 0.0000
3.8406 0.0000 4.4727
7.9822 1.6215 3.3753
5.5269 -1.6215 2.9681
9.6684 0.0000 1.8707
7.1989 -1.4507 0.0000
7.9822 -1.6215 3.3753
```

Values from the calculation:
* formation energy from raw total energies: -0.39 eV per atom
* symmetry: C2/m, No. 12


[16]
A plane-wave DFT calculation with PBE was carried out for RbMnSe2 after structural relaxation.

```
RbMnSe2
1.0
-2.0571 3.5782 8.2247
2.0571 -3.5782 8.2247
2.0571 3.5782 -8.2247
Rb Mn Se
2 2 4
Cartesian
0.0000 0.0000 2.4098
0.0000 0.0000 14.0396
0.0000 0.0000 6.6782
0.0000 0.0000 9.7713
2.0571 1.7207 0.0000
2.0571 0.0000 5.3333
0.0000 3.5782 2.8914
0.0000 1.8575 8.2247
```

Values from the calculation:
* formation energy from raw total energies: -0.73 eV per atom
* symmetry: Immm, No. 71


[17]
A plane-wave DFT calculation with PBE was carried out for RbMnSe3 after structural relaxation.

```
RbMnSe3
1.0
4.9091 0.0000 0.0000
0.0000 4.9091 0.0000
0.0000 0.0000 4.9091
Rb Mn Se
1 1 3
Cartesian
0.0000 0.0000 0.0000
2.4545 2.4545 2.4545
0.0000 2.4545 2.4545
2.4545 0.0000 2.4545
2.4545 2.4545 0.0000
```

Values from the calculation:
* formation energy from raw total energies: -0.15 eV per atom
* ΔE to the lowest computed polymorph: 426 meV per atom
* symmetry: Pm-3m, No. 221


[18]
A plane-wave DFT calculation with PBE was carried out for Rb3Mn5Se12 after structural relaxation.

```
Rb3Mn5Se12
1.0
-8.1873 8.1873 8.1873
8.1873 -8.1873 8.1873
8.1873 8.1873 -8.1873
Rb Mn Se
12 20 48
Cartesian
4.0936 2.0468 0.0000
8.1873 4.0936 -2.0468
2.0468 0.0000 4.0936
10.2341 0.0000 4.0936
0.0000 4.0936 2.0468
4.0936 -2.0468 8.1873
4.0936 10.2341 0.0000
8.1873 4.0936 6.1404
-2.0468 8.1873 4.0936
6.1404 8.1873 4.0936
0.0000 4.0936 10.2341
4.0936 6.1404 8.1873
0.0000 0.0000 0.0000
4.0936 4.0936 -4.0936
4.0936 -4.0936 4.0936
8.1873 0.0000 0.0000
12.2809 2.0468 0.0000
8.1873 -4.0936 6.1404
6.1404 8.1873 -4.0936
6.1404 0.0000 4.0936
4.0936 6.1404 0.0000
8.1873 4.0936 2.0468
-4.0936 4.0936 4.0936
0.0000 8.1873 0.0000
0.0000 0.0000 8.1873
4.0936 4.0936 4.0936
0.0000 4.0936 6.1404
4.0936 2.0468 8.1873
2.0468 8.1873 4.0936
2.0468 0.0000 12.2809
0.0000 12.2809 2.0468
-4.0936 6.1404 8.1873
6.4025 -4.8871 4.9200
14.0657 0.8264 -0.7935
11.4874 3.2673 -1.7848
8.9807 -5.8784 7.3609
4.9200 6.4025 -4.8871
7.3609 -0.7935 2.3088
10.4961 0.8264 0.7935
9.9721 -3.3002 4.9200
7.3609 8.9807 -5.8784
4.9200 -1.7848 4.8871
4.8871 4.9200 -1.7848
7.3938 2.3088 0.8264
7.3938 -2.3088 7.3609
13.0744 3.2673 1.7848
7.3609 7.3938 -2.3088
4.9200 1.7848 3.3002
2.3088 7.3609 -0.7935
9.9721 3.3002 3.2673
4.9200 9.9721 -3.3002
7.3609 0.7935 5.8784
3.3002 4.9200 1.7848
8.9807 5.8784 0.8264
5.8784 7.3609 0.7935
6.4025 4.8871 3.2673
1.7848 3.3002 4.9200
2.3088 0.8264 7.3938
-0.7935 2.3088 7.3609
4.8871 3.2673 6.4025
0.8264 7.3938 2.3088
3.2673 -1.7848 11.4874
-1.7848 4.8871 4.9200
5.8784 0.8264 8.9807
3.2673 6.4025 4.8871
0.8264 0.7935 10.4961
-4.8871 4.9200 6.4025
0.7935 10.4961 0.8264
0.7935 5.8784 7.3609
3.3002 3.2673 9.9721
3.2673 9.9721 3.3002
0.8264 -0.7935 14.0657
-1.7848 11.4874 3.2673
-2.3088 7.3609 7.3938
0.8264 8.9807 5.8784
3.2673 1.7848 13.0744
-0.7935 14.0657 0.8264
-3.3002 4.9200 9.9721
-5.8784 7.3609 8.9807
1.7848 13.0744 3.2673
```

Values from the calculation:
* formation energy from raw total energies: -0.41 eV per atom
* symmetry: Ia-3d, No. 230